1.
# BeCoSbMo PBE-GGA optimized geometry
# - space group = F-43m (216)
data_BeCoSbMo
_cell_length_a 4.292
_cell_length_b 4.292
_cell_length_c 4.292
_cell_angle_alpha 60.00
_cell_angle_beta 60.00
_cell_angle_gamma 60.00
_space_group_name_H-M_alt 'P 1'
_space_group_IT_number 1
loop_
_space_group_symop_operation_xyz
'x,y,z'
loop_
_atom_site_label
_atom_site_fract_x
_atom_site_fract_y
_atom_site_fract_z
Mo1 0.250 0.250 0.250
Sb1 0.000 0.000 0.000
Co1 0.750 0.750 0.750
Be1 0.500 0.500 0.500



2.
# BeCoSiMo PBE-GGA optimized geometry
# - space group = F-43m (216)
data_BeCoSiMo
_cell_length_a 4.029
_cell_length_b 4.029
_cell_length_c 4.029
_cell_angle_alpha 60.00
_cell_angle_beta 60.00
_cell_angle_gamma 60.00
_space_group_name_H-M_alt 'P 1'
_space_group_IT_number 1
loop_
_space_group_symop_operation_xyz
'x,y,z'
loop_
_atom_site_label
_atom_site_fract_x
_atom_site_fract_y
_atom_site_fract_z
Mo1 0.250 0.250 0.250
Be1 0.500 0.500 0.500
Co1 0.750 0.750 0.750
Si1 0.000 0.000 0.000



3.
# BeCoSiMo PBE-GGA optimized geometry
# - space group = F-43m (216)
data_BeCoSiMo
_cell_length_a 4.049
_cell_length_b 4.049
_cell_length_c 4.049
_cell_angle_alpha 60.00
_cell_angle_beta 60.00
_cell_angle_gamma 60.00
_space_group_name_H-M_alt 'P 1'
_space_group_IT_number 1
loop_
_space_group_symop_operation_xyz
'x,y,z'
loop_
_atom_site_label
_atom_site_fract_x
_atom_site_fract_y
_atom_site_fract_z
Mo1 0.500 0.500 0.500
Co1 0.750 0.750 0.750
Si1 0.000 0.000 0.000
Be1 0.250 0.250 0.250



4.
# BeTlCoMo PBE-GGA optimized geometry
# - space group = F-43m (216)
data_BeTlCoMo
_cell_length_a 4.312
_cell_length_b 4.312
_cell_length_c 4.312
_cell_angle_alpha 60.00
_cell_angle_beta 60.00
_cell_angle_gamma 60.00
_space_group_name_H-M_alt 'P 1'
_space_group_IT_number 1
loop_
_space_group_symop_operation_xyz
'x,y,z'
loop_
_atom_site_label
_atom_site_fract_x
_atom_site_fract_y
_atom_site_fract_z
Co1 0.750 0.750 0.750
Tl1 0.000 0.000 0.000
Be1 0.250 0.250 0.250
Mo1 0.500 0.500 0.500



5.
# BeTlCoMo PBE-GGA optimized geometry
# - space group = F-43m (216)
data_BeTlCoMo
_cell_length_a 4.376
_cell_length_b 4.376
_cell_length_c 4.376
_cell_angle_alpha 60.00
_cell_angle_beta 60.00
_cell_angle_gamma 60.00
_space_group_name_H-M_alt 'P 1'
_space_group_IT_number 1
loop_
_space_group_symop_operation_xyz
'x,y,z'
loop_
_atom_site_label
_atom_site_fract_x
_atom_site_fract_y
_atom_site_fract_z
Be1 0.500 0.500 0.500
Tl1 0.000 0.000 0.000
Co1 0.750 0.750 0.750
Mo1 0.250 0.250 0.250



6.
# NaBeCoTe PBE-GGA optimized geometry
# - space group = F-43m (216)
data_NaBeCoTe
_cell_length_a 4.436
_cell_length_b 4.436
_cell_length_c 4.436
_cell_angle_alpha 60.00
_cell_angle_beta 60.00
_cell_angle_gamma 60.00
_space_group_name_H-M_alt 'P 1'
_space_group_IT_number 1
loop_
_space_group_symop_operation_xyz
'x,y,z'
loop_
_atom_site_label
_atom_site_fract_x
_atom_site_fract_y
_atom_site_fract_z
Te1 0.250 0.250 0.250
Na1 0.750 0.750 0.750
Be1 0.500 0.500 0.500
Co1 0.000 0.000 0.000



Final energy list, top to bottom, in eV per atom: -6.137; -6.904; -6.719; -5.453; -5.280; -3.248